i:
This record from the Alexandria database describes a relaxed structure of Ca2Ru2Br. The functional is PBE.

a b c (Å): 8.5865 8.5865 3.3117
angles (deg): 90.00 90.00 90.00
Site moments in Bohr magnetons follow the coordinates.
Fractional coordinates of all 10 atoms:
Ru  0.0931  0.5931  0.5000  0.69
Ru  0.5931  0.9069  0.5000  0.69
Ru  0.9069  0.4069  0.5000  0.69
Ru  0.4069  0.0931  0.5000  0.69
Ca  0.3123  0.8123  0.0000  0.03
Ca  0.8123  0.6877  0.0000  0.03
Ca  0.6877  0.1877  0.0000  0.03
Ca  0.1877  0.3123  0.0000  0.03
Br  0.0000  0.0000  0.0000  0.03
Br  0.5000  0.5000  0.0000  0.03



ii:
This record from the Alexandria database describes a relaxed structure of Ca2Ru2Br. The functional is PBE.

a b c (Å): 3.6401 3.6401 9.2339
angles (deg): 78.63 78.63 90.00
Fractional coordinates of all 5 atoms:
Ru  0.7500  0.2500  0.5000
Ru  0.2500  0.7500  0.5000
Ca  0.3800  0.3800  0.2399
Ca  0.6200  0.6200  0.7601
Br  0.0000  0.0000  0.0000



Referenced to the most stable arrangement, the calculated values in meV per atom are i 546; ii 0.



i:
This record from the Alexandria database describes a relaxed structure of CaSBr3. The functional is PBE.

a b c (Å): 5.3055 5.3055 5.3055
angles (deg): 90.00 90.00 90.00
Fractional coordinates of all 5 atoms:
Ca  0.5000  0.5000  0.5000
S  0.0000  0.0000  0.0000
Br  0.0000  0.5000  0.0000
Br  0.0000  0.0000  0.5000
Br  0.5000  0.0000  0.0000



ii:
This record from the Alexandria database describes a relaxed structure of CaSBr3. The functional is PBE.

a b c (Å): 5.6796 5.6796 5.6796
angles (deg): 90.00 90.00 90.00
Site moments in Bohr magnetons follow the coordinates.
Fractional coordinates of all 5 atoms:
Ca  0.0000  0.0000  0.0000  0.00
S  0.5000  0.5000  0.5000  1.40
Br  0.0000  0.5000  0.0000  0.14
Br  0.0000  0.0000  0.5000  0.22
Br  0.5000  0.0000  0.0000  0.19



Referenced to the most stable arrangement, the calculated values in meV per atom are i 76; ii 0.



i:
This record from the Alexandria database describes a relaxed structure of CaS2Br. The functional is PBE.

a b c (Å): 7.8384 7.8384 7.8384
angles (deg): 32.16 32.16 32.16
Fractional coordinates of all 4 atoms:
Ca  0.5000  0.5000  0.5000
S  0.8914  0.8914  0.8914
S  0.1086  0.1086  0.1086
Br  0.0000  0.0000  0.0000



ii:
This record from the Alexandria database describes a relaxed structure of CaS2Br. The functional is PBE.

a b c (Å): 5.4537 5.4537 8.8073
angles (deg): 71.96 71.96 90.00
Fractional coordinates of all 8 atoms:
Ca  0.5000  0.5000  0.0000
Ca  0.2500  0.7500  0.5000
S  0.6424  0.1250  0.2500
S  0.1076  0.6250  0.2500
S  0.3750  0.3576  0.7500
S  0.8750  0.8924  0.7500
Br  0.0000  0.0000  0.0000
Br  0.7500  0.2500  0.5000



iii:
This record from the Alexandria database describes a relaxed structure of CaS2Br. The functional is PBE.

a b c (Å): 5.1843 5.1843 5.1843
angles (deg): 57.99 57.99 57.99
Fractional coordinates of all 4 atoms:
Ca  0.0000  0.0000  0.0000
S  0.7890  0.7890  0.7890
S  0.2110  0.2110  0.2110
Br  0.5000  0.5000  0.5000



Referenced to the most stable arrangement, the calculated values in meV per atom are i 0; ii 367; iii 376.